Compound: FeIrSe2
Source: the Alexandria database
Functional: PBE
Structure: relaxed

Output
Total magnetic moment   0.6592 μB per atom
Uncorrected energy   -21.9 eV per formula unit
Formation energy (no corrections)   597 meV/atom

Lattice parameters (Å, degrees): 2.995 5.349 8.260 90.00 90.00 90.00
Space group Cmmm (No. 65)
Asymmetric unit:
Fe  0.000  0.000  0.000 x2
Ir  0.000  0.000  0.500 x2
Se  0.000  0.500  0.239 x4

=====

Compound: FeIrSe2
Source: the Alexandria database
Functional: PBE
Structure: relaxed

Output
Total magnetic moment   0.7776 μB per atom
Uncorrected energy   -21.5 eV per formula unit
Formation energy (no corrections)   707 meV/atom

Lattice parameters (Å, degrees): 6.409 6.409 6.409 90.00 90.00 90.00
Space group F-43m (No. 216)
Asymmetric unit:
Fe  0.000  0.000  0.000 x4
Ir  0.250  0.250  0.750 x4
Se  0.000  0.000  0.500 x4
Se  0.250  0.250  0.250 x4

=====

Compound: Fe2IrSe
Source: the Alexandria database
Functional: PBE
Structure: relaxed

Output
Total magnetic moment   1.3454 μB per atom
Uncorrected energy   -28.3 eV per formula unit
Formation energy (no corrections)   243 meV/atom

Lattice parameters (Å, degrees): 8.209 2.938 4.713 90.00 99.12 90.00
Space group Cm (No. 8)
Asymmetric unit:
Fe  0.000  0.000  0.000 x2
Fe  0.237  0.500  0.220 x2
Ir  0.481  0.000  0.480 x2
Se  0.244  0.000  0.773 x2

=====

Compound: FeIrSe2
Source: the Alexandria database
Functional: PBE
Structure: relaxed

Output
Total magnetic moment   0.8360 μB per atom
Uncorrected energy   -21.9 eV per formula unit
Formation energy (no corrections)   589 meV/atom

Lattice parameters (Å, degrees): 3.051 3.983 5.882 90.00 90.00 90.00
Space group Pmmm (No. 47)
Asymmetric unit:
Fe  0.000  0.000  0.000 x1
Ir  0.500  0.000  0.500 x1
Se  0.000  0.500  0.500 x1
Se  0.500  0.500  0.000 x1

=====

Compound: Fe3IrSe
Source: the Alexandria database
Functional: PBE
Structure: relaxed

Output
Total magnetic moment   1.6927 μB per atom
Uncorrected energy   -33.1 eV per formula unit
Formation energy (no corrections)   929 meV/atom

Lattice parameters (Å, degrees): 4.308 4.308 4.308 90.00 90.00 90.00
Space group Pm-3m (No. 221)
Asymmetric unit:
Fe  0.000  0.000  0.500 x3
Ir  0.500  0.500  0.500 x1
Se  0.000  0.000  0.000 x1

=====

Compound: FeIrSe2
Source: the Alexandria database
Functional: PBE
Structure: relaxed

Output
Total magnetic moment   0.4757 μB per atom
Uncorrected energy   -23.8 eV per formula unit
Formation energy (no corrections)   131 meV/atom

Lattice parameters (Å, degrees): 5.466 5.466 11.065 90.00 90.00 90.00
Space group I-42d (No. 122)
Asymmetric unit:
Fe  0.000  0.000  0.000 x4
Ir  0.000  0.000  0.500 x4
Se  0.238  0.250  0.125 x8

=====

Compound: FeIrSe2
Source: the Alexandria database
Functional: PBE
Structure: relaxed

Output
Total magnetic moment   0.7803 μB per atom
Uncorrected energy   -22.2 eV per formula unit
Formation energy (no corrections)   519 meV/atom

Lattice parameters (Å, degrees): 3.810 3.810 8.866 90.00 90.00 90.00
Space group I-4m2 (No. 119)
Asymmetric unit:
Fe  0.000  0.000  0.000 x2
Ir  0.000  0.500  0.750 x2
Se  0.000  0.000  0.500 x2
Se  0.000  0.500  0.250 x2

=====

Compound: Fe2IrSe
Source: the Alexandria database
Functional: PBE
Structure: relaxed

Output
Total magnetic moment   1.3419 μB per atom
Uncorrected energy   -28.3 eV per formula unit
Formation energy (no corrections)   255 meV/atom

Lattice parameters (Å, degrees): 2.8963 2.8963 23.5256 90.00 90.00 120.00
Space group R3m (No. 160, hexagonal axes)
Asymmetric unit:
Fe  0.0000  0.0000  0.0000 x3
Fe  0.0000  0.0000  0.2549 x3
Ir  0.0000  0.0000  0.5051 x3
Se  0.0000  0.0000  0.7432 x3